Computed, not measured: CsZrS2F after structural relaxation at the PBE level of DFT.

Lattice parameters (Å, degrees): 5.137 5.137 4.456 90.00 90.00 90.00
Fractional positions:
1 Cs 0.000 0.000 0.000
2 Zr 0.500 0.500 0.500
3 S 0.000 0.500 0.500
4 S 0.500 0.000 0.500
5 F 0.500 0.500 0.000

calculated volume	23.52	Å³/atom
symmetry	No. 123
E_form (uncorrected)	-1.9326	eV/atom
total energy	-5.84	eV/atom

***

Computed, not measured: Li2Ta2Ir3 after structural relaxation at the PBE level of DFT.

Lattice parameters (Å, degrees): 4.463 4.463 7.407 108.32 108.32 60.17
Fractional positions:
1 Li 0.137 0.137 0.400
2 Li 0.863 0.863 0.600
3 Ta 0.389 0.389 0.159
4 Ta 0.611 0.611 0.841
5 Ir 0.000 0.000 0.000
6 Ir 0.258 0.258 0.785
7 Ir 0.742 0.742 0.215

calculated volume	17.03	Å³/atom
symmetry	No. 12
energy relative to the elements	-316	meV/atom
total energy	-8.05	eV/atom

***

Computed, not measured: PrReO4F after structural relaxation at the PBE level of DFT.

Lattice parameters (Å, degrees): 6.004 5.522 7.256 90.00 112.01 90.00
Fractional positions:
1 Pr 0.216 0.250 0.447
2 Pr 0.784 0.750 0.553
3 Re 0.386 0.750 0.777
4 Re 0.614 0.250 0.223
5 O 0.166 0.502 0.707
6 O 0.166 0.998 0.707
7 O 0.295 0.250 0.141
8 O 0.373 0.750 0.502
9 O 0.627 0.250 0.498
10 O 0.705 0.750 0.859
11 O 0.834 0.002 0.293
12 O 0.834 0.498 0.293
13 F 0.398 0.750 0.054
14 F 0.602 0.250 0.946

calculated volume	15.93	Å³/atom
symmetry	No. 11
E_form (uncorrected)	-2.2416	eV/atom
total energy	-7.80	eV/atom

***

Computed, not measured: Sc4FePb after structural relaxation at the PBE level of DFT.

Lattice parameters (Å, degrees): 5.787 5.787 5.787 60.00 60.00 60.00
Fractional positions:
1 Sc 0.124 0.124 0.124
2 Sc 0.124 0.124 0.627
3 Sc 0.124 0.627 0.124
4 Sc 0.627 0.124 0.124
5 Fe 0.750 0.750 0.750
6 Pb 0.500 0.500 0.500

calculated volume	22.84	Å³/atom
symmetry	No. 216
distance to the lowest polymorph of the same formula	4.14	eV per formula unit
energy relative to the elements	414	meV/atom
total energy	-5.84	eV/atom

***

Computed, not measured: ZrReAg2 after structural relaxation at the PBE level of DFT.

Lattice parameters (Å, degrees): 3.977 3.977 4.466 90.00 90.00 90.00
Fractional positions:
1 Zr 0.000 0.000 0.000
2 Re 0.500 0.500 0.000
3 Ag 0.000 0.500 0.500
4 Ag 0.500 0.000 0.500

calculated volume	17.66	Å³/atom
symmetry	No. 123
distance to the lowest polymorph of the same formula	0.25	eV per formula unit
energy relative to the elements	271	meV/atom
total energy	-6.40	eV/atom

***

Computed, not measured: MnC3 after structural relaxation at the PBE level of DFT.

Lattice parameters (Å, degrees): 3.464 3.464 2.646 90.00 90.00 114.33
Fractional positions:
1 Mn 0.000 0.000 0.000
2 C 0.000 0.500 0.500
3 C 0.500 0.000 0.500
4 C 0.500 0.500 0.000

calculated volume	7.23	Å³/atom
symmetry	No. 65
distance to the lowest polymorph of the same formula	6.48	eV per formula unit
energy relative to the elements	2328	meV/atom
total energy	-6.88	eV/atom

***

Asked for spin magnetization across the records above, the calculation gives 0.0; 0.0; 1.0; 2.3; 0.0; 0.0 μB per formula unit in order.